{"formula": "Sr3CdN", "functional": "PBE-GGA", "state": "optimized geometry", "cell": [[-4.6068, -4.8749, 2.7233], [2.5287, -5.8024, 3.5182], [-4.1254, 2.2049, 6.6018]], "species": ["Sr", "Sr", "Sr", "Sr", "Sr", "Sr", "Cd", "Cd", "N", "N"], "fractional_positions": [[0.3673, 0.0203, 0.5071], [0.0589, 0.6744, 0.9720], [0.5573, 0.1763, 0.9720], [0.0591, 0.1762, 0.9720], [0.3675, 0.5221, 0.5071], [0.8691, 0.0202, 0.5071], [0.9364, 0.4866, 0.4047], [0.4900, 0.7098, 0.0744], [0.0483, 0.9306, 0.7369], [0.3781, 0.2658, 0.7422]], "volume_a3_per_atom": 31.43, "space_group": "C2/m, No. 12", "raw_formation_energy_ev_per_fu": -1.6, "e_above_lowest_polymorph_mev_per_atom": 88}

---

{"formula": "Sr7Cd3N2", "functional": "PBE-GGA", "state": "optimized geometry", "cell": [[-2.6354, 0.9480, 4.4525], [3.8963, -2.2748, 2.7905], [4.1282, 12.8880, -0.3006]], "species": ["Sr", "Sr", "Sr", "Sr", "Sr", "Sr", "Sr", "Cd", "Cd", "Cd", "N", "N"], "fractional_positions": [[0.0000, 0.3989, 0.7979], [0.0000, 0.8031, 0.6061], [0.0000, 0.0000, 0.0000], [0.0000, 0.6011, 0.2021], [0.5000, 0.0999, 0.1997], [0.5000, 0.9001, 0.8003], [0.0000, 0.1969, 0.3939], [0.5000, 0.5000, 0.0000], [0.5000, 0.7088, 0.4176], [0.5000, 0.2912, 0.5824], [0.0000, 0.8971, 0.7942], [0.0000, 0.1029, 0.2058]], "volume_a3_per_atom": 30.87, "space_group": "Cmmm, No. 65", "raw_formation_energy_ev_per_fu": -4.8}

---

{"formula": "SrCd3N", "functional": "PBE-GGA", "state": "optimized geometry", "cell": [[4.9179, 0.0000, 0.0000], [0.0000, 4.9179, 0.0000], [0.0000, 0.0000, 4.9179]], "species": ["Sr", "N", "Cd", "Cd", "Cd"], "fractional_positions": [[0.5000, 0.5000, 0.5000], [0.0000, 0.0000, 0.0000], [0.0000, 0.5000, 0.0000], [0.0000, 0.0000, 0.5000], [0.5000, 0.0000, 0.0000]], "volume_a3_per_atom": 23.79, "space_group": "Pm-3m, No. 221", "raw_formation_energy_ev_per_fu": 2.1, "e_above_lowest_polymorph_mev_per_atom": 0}

---

Number 1: DOS(E_F) 4.540 states/eV/cell. Number 2: DOS(E_F) 10.561 states/eV/cell. Number 3: DOS(E_F) 3.703 states/eV/cell.